Record 1
A plane-wave DFT calculation with PBE was carried out for crystalline CsTlCd2Hg at its relaxed geometry.

Summary:
As for the space group: No. 123. The relative energy among the computed polymorphs comes out at 156 meV per atom. The total energy comes out at -1.00 eV/atom. As for the size of the total moment: 0.0 μB per cell. For the calculated formation energy, the calculation gives 32.6 kJ/mol of formula units.

Lattice parameters (Å, degrees): 5.853 5.853 5.796 90.00 90.00 90.00
Positions (direct):
Cs  0.000  0.000  0.000
Tl  0.500  0.500  0.000
Cd  0.000  0.500  0.500
Cd  0.500  0.000  0.500
Hg  0.500  0.500  0.500



Record 2
A plane-wave DFT calculation with PBE was carried out for crystalline Cs2TlCd3Hg4 at its relaxed geometry.

Summary:
As for the space group: No. 115. The total energy comes out at -0.93 eV/atom. As for the size of the total moment: 0.0 μB per cell. For the calculated formation energy, the calculation gives -127.6 kJ/mol of formula units.

Lattice parameters (Å, degrees): 5.483 5.483 11.450 90.00 90.00 90.00
Positions (direct):
Cs  0.000  0.500  0.242
Cs  0.500  0.000  0.758
Tl  0.000  0.000  0.500
Cd  0.000  0.500  0.886
Cd  0.500  0.000  0.114
Cd  0.500  0.500  0.500
Hg  0.000  0.000  0.000
Hg  0.000  0.500  0.626
Hg  0.500  0.000  0.374
Hg  0.500  0.500  0.000



Record 3
A plane-wave DFT calculation with PBE was carried out for crystalline CsTlCd2Hg4 at its relaxed geometry.

Summary:
As for the space group: No. 166. The total energy comes out at -0.87 eV/atom. As for the size of the total moment: 0.0 μB per cell. For the calculated formation energy, the calculation gives -67.5 kJ/mol of formula units.

Lattice parameters (Å, degrees): 11.898 11.898 11.898 24.73 24.73 24.73
Positions (direct):
Cs  0.000  0.000  0.000
Tl  0.500  0.500  0.500
Cd  0.234  0.234  0.234
Cd  0.766  0.766  0.766
Hg  0.128  0.128  0.128
Hg  0.402  0.402  0.402
Hg  0.598  0.598  0.598
Hg  0.872  0.872  0.872



Record 4
A plane-wave DFT calculation with PBE was carried out for crystalline CsTlCd2Hg at its relaxed geometry.

Summary:
As for the space group: No. 123. The relative energy among the computed polymorphs comes out at 128 meV per atom. The total energy comes out at -1.03 eV/atom. As for the size of the total moment: 0.0 μB per cell. For the calculated formation energy, the calculation gives 19.4 kJ/mol of formula units.

Lattice parameters (Å, degrees): 5.823 5.823 6.262 90.00 90.00 90.00
Positions (direct):
Cs  0.000  0.000  0.000
Tl  0.500  0.500  0.500
Cd  0.000  0.500  0.500
Cd  0.500  0.000  0.500
Hg  0.500  0.500  0.000



Record 5
A plane-wave DFT calculation with PBE was carried out for crystalline CsTl2Cd2Hg2 at its relaxed geometry.

Summary:
As for the space group: No. 166. The total energy comes out at -1.21 eV/atom. As for the size of the total moment: 0.0 μB per cell. For the calculated formation energy, the calculation gives -42.9 kJ/mol of formula units.

Lattice parameters (Å, degrees): 11.282 11.282 11.282 25.87 25.87 25.87
Positions (direct):
Cs  0.000  0.000  0.000
Tl  0.140  0.140  0.140
Tl  0.860  0.860  0.860
Cd  0.236  0.236  0.236
Cd  0.764  0.764  0.764
Hg  0.410  0.410  0.410
Hg  0.590  0.590  0.590



Record 6
A plane-wave DFT calculation with PBE was carried out for crystalline Cs2Tl2CdHg4 at its relaxed geometry.

Summary:
As for the space group: No. 12. The total energy comes out at -1.08 eV/atom. As for the size of the total moment: 0.0 μB per cell. For the calculated formation energy, the calculation gives -113.7 kJ/mol of formula units.

Lattice parameters (Å, degrees): 7.162 7.162 7.323 104.49 104.49 64.77
Positions (direct):
Cs  0.135  0.135  0.340
Cs  0.865  0.865  0.660
Tl  0.380  0.380  0.829
Tl  0.620  0.620  0.171
Cd  0.500  0.500  0.500
Hg  0.101  0.611  0.182
Hg  0.389  0.899  0.818
Hg  0.611  0.101  0.182
Hg  0.899  0.389  0.818



Record 7
A plane-wave DFT calculation with PBE was carried out for crystalline Cs2TlCd2Hg at its relaxed geometry.

Summary:
As for the space group: No. 72. The total energy comes out at -1.14 eV/atom. As for the size of the total moment: 0.0 μB per cell. For the calculated formation energy, the calculation gives -61.9 kJ/mol of formula units.

Lattice parameters (Å, degrees): 9.959 9.959 9.959 131.94 68.87 133.80
Positions (direct):
Cs  0.168  0.235  0.403
Cs  0.332  0.735  0.067
Cs  0.668  0.265  0.933
Cs  0.832  0.765  0.597
Tl  0.250  0.750  0.500
Tl  0.750  0.250  0.500
Cd  0.080  0.755  0.834
Cd  0.420  0.255  0.675
Cd  0.580  0.745  0.325
Cd  0.920  0.245  0.166
Hg  0.250  0.250  0.000
Hg  0.750  0.750  0.000



Record 8
A plane-wave DFT calculation with PBE was carried out for crystalline CsTlCd2Hg at its relaxed geometry.

Summary:
As for the space group: No. 44. The relative energy among the computed polymorphs comes out at 0 meV per atom. The total energy comes out at -1.16 eV/atom. As for the size of the total moment: 0.0 μB per cell. For the calculated formation energy, the calculation gives -42.4 kJ/mol of formula units.

Lattice parameters (Å, degrees): 7.359 7.359 7.359 138.65 138.30 60.17
Positions (direct):
Cs  0.000  0.000  0.000
Tl  0.247  0.747  0.500
Cd  0.372  0.372  0.000
Cd  0.751  0.251  0.500
Hg  0.613  0.613  0.000



- total energy of number 7 (Cs2TlCd2Hg)?
  -1.14 eV/atom



Repeat the fifth record exactly.
A plane-wave DFT calculation with PBE was carried out for crystalline CsTl2Cd2Hg2 at its relaxed geometry.

Summary:
As for the space group: No. 166. The total energy comes out at -1.21 eV/atom. As for the size of the total moment: 0.0 μB per cell. For the calculated formation energy, the calculation gives -42.9 kJ/mol of formula units.

Lattice parameters (Å, degrees): 11.282 11.282 11.282 25.87 25.87 25.87
Positions (direct):
Cs  0.000  0.000  0.000
Tl  0.140  0.140  0.140
Tl  0.860  0.860  0.860
Cd  0.236  0.236  0.236
Cd  0.764  0.764  0.764
Hg  0.410  0.410  0.410
Hg  0.590  0.590  0.590



- Which formula does entry 3 have?
  CsTlCd2Hg4



- What is the formula in the fifth record?
  CsTl2Cd2Hg2